Density functional theory data (PBE) for a relaxed structure of CeEr2Tm3S6.

The space group is C2/m (No. 12) and the conventional cell measures 16.917, 3.863 and 7.800 Å, with angles of 90.00, 103.40 and 90.00 degrees. The asymmetric unit holds Ce at (0.000, 0.000, 0.000), Er at (0.164, 0.500, 0.328), Tm at (0.000, 0.000, 0.500), Tm at (0.164, 0.500, 0.835), S at (0.000, 0.500, 0.262), S at (0.167, 0.000, 0.584) and S at (0.172, 0.000, 0.085).

The value obtained for the formation energy from raw total energies is -1.961 eV/atom. Its crystal system is monoclinic. As for the total moment: 0.77 μB per formula unit.

Density functional theory data (PBE) for a relaxed structure of Sc3BeBi.

The space group is Pm-3m (No. 221) and the conventional cell measures 5.395, 5.395 and 5.395 Å, with angles of 90.00, 90.00 and 90.00 degrees. The asymmetric unit holds Sc at (0.000, 0.000, 0.500), Be at (0.500, 0.500, 0.500) and Bi at (0.000, 0.000, 0.000).

Its crystal system is cubic. As for the total moment: 0.00 μB per formula unit. As for the formation energy: 0.838 eV/atom. The relative energy among the computed polymorphs is 1033.6 meV/atom.